Below is TbGdPuCd after structural relaxation, with properties calculated at the GGA-PBE level.

Output
Energy relative to the elements = 0.065 eV/atom
Spin magnetization = 0.2341 μB/atom

Geometry as POSCAR:
```
TbGdPuCd
1.0
0.000 3.827 3.827
3.827 0.000 3.827
3.827 3.827 0.000
Tb Gd Pu Cd
1 1 1 1
Direct
0.000 0.000 0.000 Tb
0.500 0.500 0.500 Gd
0.750 0.750 0.750 Pu
0.250 0.250 0.250 Cd
```